No. 1
# Fe2PBr (PBE-GGA, relaxed)
data_Fe2PBr
_chemical_formula_sum 'Fe8 P4 Br4'
_symmetry_space_group_name_H-M 'F m -3 m'
_symmetry_Int_Tables_number 225
_symmetry_space_group_name_Hall '-F 4 2 3'
_cell_length_a 5.995
_cell_length_b 5.995
_cell_length_c 5.995
_cell_angle_alpha 90.00
_cell_angle_beta 90.00
_cell_angle_gamma 90.00
loop_
_atom_site_label
_atom_site_fract_x
_atom_site_fract_y
_atom_site_fract_z
_atom_site_occupancy
Fe1 0.250 0.250 0.250 1
P1 0.000 0.000 0.000 1
Br1 0.000 0.000 0.500 1
# - Energy relative to the elements, uncorrected: 0.54 eV per atom
# - Energy above the most stable polymorph in this dataset: 680 meV per atom



No. 2
# FePPtBr2 (PBE-GGA, relaxed)
data_FePPtBr2
_chemical_formula_sum 'Fe1 P1 Pt1 Br2'
_symmetry_space_group_name_H-M 'P 4/m m m'
_symmetry_Int_Tables_number 123
_symmetry_space_group_name_Hall '-P 4 2'
_cell_length_a 5.361
_cell_length_b 5.361
_cell_length_c 4.469
_cell_angle_alpha 90.00
_cell_angle_beta 90.00
_cell_angle_gamma 90.00
loop_
_atom_site_label
_atom_site_fract_x
_atom_site_fract_y
_atom_site_fract_z
_atom_site_occupancy
Fe1 0.000 0.000 0.000 1
P1 0.500 0.500 0.000 1
Pt1 0.500 0.500 0.500 1
Br1 0.000 0.500 0.500 1
# - Energy relative to the elements, uncorrected: 0.75 eV per atom



No. 3
# Rb2FePBr6 (PBE-GGA, relaxed)
data_Rb2FePBr6
_chemical_formula_sum 'Rb4 Fe2 P2 Br12'
_symmetry_space_group_name_H-M 'I 4/m m m'
_symmetry_Int_Tables_number 139
_symmetry_space_group_name_Hall '-I 4 2'
_cell_length_a 7.564
_cell_length_b 7.564
_cell_length_c 10.628
_cell_angle_alpha 90.00
_cell_angle_beta 90.00
_cell_angle_gamma 90.00
loop_
_atom_site_label
_atom_site_fract_x
_atom_site_fract_y
_atom_site_fract_z
_atom_site_occupancy
Rb1 0.000 0.500 0.250 1
Fe1 0.000 0.000 0.000 1
P1 0.000 0.000 0.500 1
Br1 0.000 0.000 0.248 1
Br2 0.245 0.245 0.000 1
# - Energy relative to the elements, uncorrected: -0.75 eV per atom



Please write out number 2 again, unchanged.
# FePPtBr2 (PBE-GGA, relaxed)
data_FePPtBr2
_chemical_formula_sum 'Fe1 P1 Pt1 Br2'
_symmetry_space_group_name_H-M 'P 4/m m m'
_symmetry_Int_Tables_number 123
_symmetry_space_group_name_Hall '-P 4 2'
_cell_length_a 5.361
_cell_length_b 5.361
_cell_length_c 4.469
_cell_angle_alpha 90.00
_cell_angle_beta 90.00
_cell_angle_gamma 90.00
loop_
_atom_site_label
_atom_site_fract_x
_atom_site_fract_y
_atom_site_fract_z
_atom_site_occupancy
Fe1 0.000 0.000 0.000 1
P1 0.500 0.500 0.000 1
Pt1 0.500 0.500 0.500 1
Br1 0.000 0.500 0.500 1
# - Energy relative to the elements, uncorrected: 0.75 eV per atom



- Which of these has the lowest energy relative to the elements, uncorrected?
  Rb2FePBr6